Material: Mn2CrRhS
Method: DFT, PBE
State: relaxed

```
data_Mn2CrRhS
_symmetry_space_group_name_H-M 'P 1'
_symmetry_Int_Tables_number 1
_cell_length_a 4.465
_cell_length_b 4.465
_cell_length_c 4.143
_cell_angle_alpha 90.00
_cell_angle_beta 90.00
_cell_angle_gamma 90.00
loop_
_symmetry_equiv_pos_as_xyz
'x,y,z'
loop_
_atom_site_label
_atom_site_type_symbol
_atom_site_fract_x
_atom_site_fract_y
_atom_site_fract_z
Mn1 Mn 0.000 0.500 0.000
Mn2 Mn 0.500 0.000 0.000
Cr1 Cr 0.000 0.000 0.000
Rh1 Rh 0.500 0.500 0.500
S1 S 0.000 0.000 0.500
```

Computed properties:
Formation energy without anion corrections (eV per formula unit): 3.911
Calculated volume (Å³ per atom): 16.5
D(E_F) (states/eV per atom): 0.80
M_tot (Bohr magnetons per cell): 6.15